No. 1
The following is a GGA-PBE calculation of a relaxed structure of KCa2Mo, from Alexandria via LeMat-Bulk.

Cell and atoms, written as CIF:
```
data_KCa2Mo
_cell_length_a 4.515
_cell_length_b 4.535
_cell_length_c 12.260
_cell_angle_alpha 90.00
_cell_angle_beta 90.00
_cell_angle_gamma 90.00
_space_group_name_H-M_alt 'C m m 2'
_space_group_IT_number 35
loop_
_space_group_symop_operation_xyz
'x,y,z'
'-x,-y,z'
'-x,y,z'
'x,-y,z'
'x+1/2,y+1/2,z'
'-x+1/2,-y+1/2,z'
'-x+1/2,y+1/2,z'
'x+1/2,-y+1/2,z'
loop_
_atom_site_label
_atom_site_type_symbol
_atom_site_fract_x
_atom_site_fract_y
_atom_site_fract_z
K1 K 0.000 0.000 0.000
Ca1 Ca 0.000 0.000 0.416
Ca2 Ca 0.000 0.500 0.688
Mo1 Mo 0.000 0.500 0.236
```

Properties
The calculation puts the energy above the most stable polymorph in this dataset at 240 meV per atom. The value obtained for the size of the total moment is 0.000 μB per atom. For the formation energy from the elements, the calculation gives 0.91 eV per atom. The density is 2.8 g/cm3. As for the uncorrected energy: -0.1130 Ha/atom.

---

No. 2
The following is a GGA-PBE calculation of a relaxed structure of KCaMo2, from Alexandria via LeMat-Bulk.

Cell and atoms, written as CIF:
```
data_KCaMo2
_cell_length_a 3.385
_cell_length_b 5.863
_cell_length_c 11.077
_cell_angle_alpha 90.00
_cell_angle_beta 90.00
_cell_angle_gamma 90.00
_space_group_name_H-M_alt 'I m m 2'
_space_group_IT_number 44
loop_
_space_group_symop_operation_xyz
'x,y,z'
'-x,-y,z'
'-x,y,z'
'x,-y,z'
'x+1/2,y+1/2,z+1/2'
'-x+1/2,-y+1/2,z+1/2'
'-x+1/2,y+1/2,z+1/2'
'x+1/2,-y+1/2,z+1/2'
loop_
_atom_site_label
_atom_site_type_symbol
_atom_site_fract_x
_atom_site_fract_y
_atom_site_fract_z
K1 K 0.000 0.000 0.000
Ca1 Ca 0.000 0.500 0.206
Mo1 Mo 0.000 0.000 0.422
Mo2 Mo 0.000 0.500 0.776
```

Properties
The calculation puts the energy above the most stable polymorph in this dataset at 306 meV per atom. The value obtained for the size of the total moment is 0.040 μB per atom. For the formation energy from the elements, the calculation gives 0.92 eV per atom. The density is 4.1 g/cm3. As for the uncorrected energy: -0.1937 Ha/atom.

---

No. 3
The following is a GGA-PBE calculation of a relaxed structure of KCaMo2, from Alexandria via LeMat-Bulk.

Cell and atoms, written as CIF:
```
data_KCaMo2
_cell_length_a 7.789
_cell_length_b 3.216
_cell_length_c 9.464
_cell_angle_alpha 90.00
_cell_angle_beta 93.79
_cell_angle_gamma 90.00
_space_group_name_H-M_alt 'C 1 m 1'
_space_group_IT_number 8
loop_
_space_group_symop_operation_xyz
'x,y,z'
'x,-y,z'
'x+1/2,y+1/2,z'
'x+1/2,-y+1/2,z'
loop_
_atom_site_label
_atom_site_type_symbol
_atom_site_fract_x
_atom_site_fract_y
_atom_site_fract_z
K1 K 0.000 0.000 0.000
Ca1 Ca 0.275 0.500 0.395
Mo1 Mo 0.020 0.500 0.602
Mo2 Mo 0.243 0.000 0.714
```

Properties
The calculation puts the energy above the most stable polymorph in this dataset at 212 meV per atom. The value obtained for the size of the total moment is 0.000 μB per atom. For the formation energy from the elements, the calculation gives 0.83 eV per atom. The density is 3.8 g/cm3. As for the uncorrected energy: -0.1971 Ha/atom.

---

No. 4
The following is a GGA-PBE calculation of a relaxed structure of KCaMo2, from Alexandria via LeMat-Bulk.

Cell and atoms, written as CIF:
```
data_KCaMo2
_cell_length_a 3.348
_cell_length_b 3.348
_cell_length_c 10.041
_cell_angle_alpha 90.00
_cell_angle_beta 90.00
_cell_angle_gamma 90.00
_space_group_name_H-M_alt 'P 4 m m'
_space_group_IT_number 99
loop_
_space_group_symop_operation_xyz
'x,y,z'
'-y,x,z'
'-x,-y,z'
'y,-x,z'
'-x,y,z'
'y,x,z'
'x,-y,z'
'-y,-x,z'
loop_
_atom_site_label
_atom_site_type_symbol
_atom_site_fract_x
_atom_site_fract_y
_atom_site_fract_z
K1 K 0.000 0.000 0.000
Ca1 Ca 0.500 0.500 0.614
Mo1 Mo 0.000 0.000 0.395
Mo2 Mo 0.500 0.500 0.288
```

Properties
The calculation puts the energy above the most stable polymorph in this dataset at 0 meV per atom. The value obtained for the size of the total moment is 0.000 μB per atom. For the formation energy from the elements, the calculation gives 0.61 eV per atom. The density is 4.0 g/cm3. As for the uncorrected energy: -0.2049 Ha/atom.

---

No. 5
The following is a GGA-PBE calculation of a relaxed structure of KCaMo2, from Alexandria via LeMat-Bulk.

Cell and atoms, written as CIF:
```
data_KCaMo2
_cell_length_a 5.473
_cell_length_b 11.172
_cell_length_c 2.784
_cell_angle_alpha 90.00
_cell_angle_beta 90.00
_cell_angle_gamma 90.00
_space_group_name_H-M_alt 'C m m m'
_space_group_IT_number 65
_space_group_name_Hall '-C 2 2'
loop_
_atom_site_label
_atom_site_type_symbol
_atom_site_fract_x
_atom_site_fract_y
_atom_site_fract_z
K1 K 0.000 0.000 0.000
Ca1 Ca 0.000 0.500 0.000
Mo1 Mo 0.250 0.250 0.500
```

Properties
The calculation puts the energy above the most stable polymorph in this dataset at 677 meV per atom. The value obtained for the size of the total moment is 0.001 μB per atom. For the formation energy from the elements, the calculation gives 1.29 eV per atom. The density is 5.3 g/cm3. As for the uncorrected energy: -0.1801 Ha/atom.

---

No. 6
The following is a GGA-PBE calculation of a relaxed structure of KCa2Mo, from Alexandria via LeMat-Bulk.

Cell and atoms, written as CIF:
```
data_KCa2Mo
_cell_length_a 8.105
_cell_length_b 8.105
_cell_length_c 8.105
_cell_angle_alpha 90.00
_cell_angle_beta 90.00
_cell_angle_gamma 90.00
_space_group_name_H-M_alt 'F m -3 m'
_space_group_IT_number 225
_space_group_name_Hall '-F 4 2 3'
loop_
_atom_site_label
_atom_site_type_symbol
_atom_site_fract_x
_atom_site_fract_y
_atom_site_fract_z
K1 K 0.000 0.000 0.000
Ca1 Ca 0.250 0.250 0.250
Mo1 Mo 0.000 0.000 0.500
```

Properties
The calculation puts the energy above the most stable polymorph in this dataset at 255 meV per atom. The value obtained for the size of the total moment is 0.814 μB per atom. For the formation energy from the elements, the calculation gives 0.92 eV per atom. The density is 2.7 g/cm3. As for the uncorrected energy: -0.1124 Ha/atom.

---

No. 7
The following is a GGA-PBE calculation of a relaxed structure of KCaMo2, from Alexandria via LeMat-Bulk.

Cell and atoms, written as CIF:
```
data_KCaMo2
_cell_length_a 3.537
_cell_length_b 4.281
_cell_length_c 11.464
_cell_angle_alpha 90.00
_cell_angle_beta 90.00
_cell_angle_gamma 90.00
_space_group_name_H-M_alt 'C m m m'
_space_group_IT_number 65
_space_group_name_Hall '-C 2 2'
loop_
_atom_site_label
_atom_site_type_symbol
_atom_site_fract_x
_atom_site_fract_y
_atom_site_fract_z
K1 K 0.000 0.000 0.000
Ca1 Ca 0.000 0.000 0.500
Mo1 Mo 0.000 0.500 0.272
```

Properties
The calculation puts the energy above the most stable polymorph in this dataset at 527 meV per atom. The value obtained for the size of the total moment is 0.000 μB per atom. For the formation energy from the elements, the calculation gives 1.14 eV per atom. The density is 5.2 g/cm3. As for the uncorrected energy: -0.1856 Ha/atom.

---

No. 8
The following is a GGA-PBE calculation of a relaxed structure of KCaMo2, from Alexandria via LeMat-Bulk.

Cell and atoms, written as CIF:
```
data_KCaMo2
_cell_length_a 3.018
_cell_length_b 5.271
_cell_length_c 7.496
_cell_angle_alpha 90.00
_cell_angle_beta 90.00
_cell_angle_gamma 90.00
_space_group_name_H-M_alt 'P m m m'
_space_group_IT_number 47
loop_
_space_group_symop_operation_xyz
'x,y,z'
'-x,-y,-z'
'-x,-y,z'
'x,y,-z'
'x,-y,-z'
'-x,y,z'
'-x,y,-z'
'x,-y,z'
loop_
_atom_site_label
_atom_site_type_symbol
_atom_site_fract_x
_atom_site_fract_y
_atom_site_fract_z
K1 K 0.000 0.000 0.000
Ca1 Ca 0.000 0.000 0.500
Mo1 Mo 0.500 0.500 0.354
```

Properties
The calculation puts the energy above the most stable polymorph in this dataset at 428 meV per atom. The value obtained for the size of the total moment is 0.000 μB per atom. For the formation energy from the elements, the calculation gives 1.04 eV per atom. The density is 3.8 g/cm3. As for the uncorrected energy: -0.1892 Ha/atom.

---

No. 9
The following is a GGA-PBE calculation of a relaxed structure of KCaMo3, from Alexandria via LeMat-Bulk.

Cell and atoms, written as CIF:
```
data_KCaMo3
_cell_length_a 4.735
_cell_length_b 4.735
_cell_length_c 4.735
_cell_angle_alpha 90.00
_cell_angle_beta 90.00
_cell_angle_gamma 90.00
_space_group_name_H-M_alt 'P m -3 m'
_space_group_IT_number 221
_space_group_name_Hall '-P 4 2 3'
loop_
_atom_site_label
_atom_site_type_symbol
_atom_site_fract_x
_atom_site_fract_y
_atom_site_fract_z
K1 K 0.000 0.000 0.000
Ca1 Ca 0.500 0.500 0.500
Mo1 Mo 0.000 0.000 0.500
```

Properties
The calculation puts the energy above the most stable polymorph in this dataset at 0 meV per atom. The value obtained for the size of the total moment is 0.000 μB per atom. For the formation energy from the elements, the calculation gives 2.82 eV per atom. The density is 5.7 g/cm3. As for the uncorrected energy: -0.1579 Ha/atom.

---

Q: What is the formula in the fourth record?
A: KCaMo2

---

Q: Look up the uncorrected energy of the third one.
A: -0.1971 Ha/atom

---

Q: What is the formula in the seventh record?
A: KCaMo2